Record 1
A geometry-optimized ReRuRh3 structure, computed with PBE-GGA.

Cell lengths 4.7201, 5.4631, 6.0593 Å; angles 103.22, 96.80, 107.12 degrees
Space group P-1 (No. 2)
Symmetry-distinct sites (fractional):
Re: 0.2060 0.1535 0.3966 x2
Ru: 0.4114 0.5522 0.7985 x2
Rh: 0.9999 0.2505 0.0053 x2
Rh: 0.2020 0.6527 0.4056 x2
Rh: 0.3947 0.0524 0.7897 x2

Computed properties:
Energy of formation from the pure elements, eV/atom: -0.0407
Energy above the most stable polymorph in this dataset, meV per atom: 0.0

---

Record 2
A geometry-optimized La2SCl structure, computed with PBE-GGA.

Cell lengths 6.5866, 6.5866, 13.1039 Å; angles 90.00, 90.00, 90.00 degrees
Space group I-42d (No. 122)
Symmetry-distinct sites (fractional):
La: 0.2328 0.2500 0.1250 x8
S: 0.0000 0.0000 0.0000 x4
Cl: 0.0000 0.0000 0.5000 x4

Computed properties:
Energy above the most stable polymorph in this dataset, meV per atom: 475.5

---

Copy entry 1 word for word.
A geometry-optimized ReRuRh3 structure, computed with PBE-GGA.

Cell lengths 4.7201, 5.4631, 6.0593 Å; angles 103.22, 96.80, 107.12 degrees
Space group P-1 (No. 2)
Symmetry-distinct sites (fractional):
Re: 0.2060 0.1535 0.3966 x2
Ru: 0.4114 0.5522 0.7985 x2
Rh: 0.9999 0.2505 0.0053 x2
Rh: 0.2020 0.6527 0.4056 x2
Rh: 0.3947 0.0524 0.7897 x2

Computed properties:
Energy of formation from the pure elements, eV/atom: -0.0407
Energy above the most stable polymorph in this dataset, meV per atom: 0.0

---

The lowest energy above the most stable polymorph in this dataset belongs to which entry?
ReRuRh3

---

Which of these has the highest energy above the most stable polymorph in this dataset?
La2SCl

---

energy above the most stable polymorph in this dataset of number 1 (ReRuRh3)?
0.0 meV per atom